The following is a DFT calculation (GGA-PBEsol) of crystalline BeSi2Ni at its relaxed geometry.

The density comes out at 4.67 g/cm3. The space group is Pmmm (47). The value obtained for the density of states at the Fermi level is 1.58 states/eV/cell. As for the formation energy (no corrections): -0.028 eV/atom. The calculated volume comes out at 44.1 Å³/f.u. The value obtained for the final energy is -21.8 eV per formula unit.

Lattice parameters (Å, degrees): 2.567 3.453 4.974 90.00 90.00 90.00
Element x y z (fractional)
Be: 0.000 0.000 0.000
Si: 0.500 0.500 0.245
Si: 0.500 0.500 0.755
Ni: 0.000 0.000 0.500